Record 1
ErPaAs | PBE-GGA | optimized geometry

Cell lengths 3.589, 3.589, 11.529 Å; angles 90.00, 90.00, 90.00 degrees
Atoms (fractional coordinates):
1 Er 0.000 0.000 0.000
2 Er 0.500 0.500 0.500
3 Pa 0.000 0.000 0.283
4 Pa 0.500 0.500 0.783
5 As 0.000 0.000 0.644
6 As 0.500 0.500 0.144

excess energy over the best structure of this formula in the dataset	0.00	eV per formula unit
VASP energy	-6.695	eV/atom
formation energy	-133	kJ/mol of formula units
density of states at the Fermi level	5.5	states/eV/f.u.

=====

Record 2
MgUSi | PBE-GGA | optimized geometry

Cell lengths 7.182, 6.680, 4.713 Å; angles 75.99, 64.47, 39.55 degrees
Atoms (fractional coordinates):
1 Mg 0.179 0.821 0.179
2 Mg 0.821 0.179 0.821
3 U 0.250 0.250 0.250
4 U 0.750 0.750 0.750
5 Si 0.397 0.397 0.603
6 Si 0.603 0.603 0.397

VASP energy	-5.913	eV/atom
density of states at the Fermi level	4.9	states/eV/f.u.

=====

Record 3
ZrMnRu | PBE-GGA | optimized geometry

Cell lengths 6.192, 6.192, 6.192 Å; angles 90.00, 90.00, 90.00 degrees
Atoms (fractional coordinates):
1 Zr 0.000 0.000 0.000
2 Zr 0.000 0.500 0.500
3 Zr 0.500 0.000 0.500
4 Zr 0.500 0.500 0.000
5 Mn 0.000 0.000 0.500
6 Mn 0.000 0.500 0.000
7 Mn 0.500 0.000 0.000
8 Mn 0.500 0.500 0.500
9 Ru 0.250 0.250 0.250
10 Ru 0.250 0.750 0.750
11 Ru 0.750 0.250 0.750
12 Ru 0.750 0.750 0.250

excess energy over the best structure of this formula in the dataset	1.26	eV per formula unit
VASP energy	-8.783	eV/atom
formation energy	62	kJ/mol of formula units
density of states at the Fermi level	2.7	states/eV/f.u.

=====

Record 4
Nd3Hg5H12 | PBE-GGA | optimized geometry

Cell lengths 11.391, 11.391, 11.391 Å; angles 109.47, 109.47, 109.47 degrees
Atoms (fractional coordinates):
1 Nd 0.125 0.250 0.375
2 Nd 0.125 0.375 0.750
3 Nd 0.250 0.375 0.125
4 Nd 0.250 0.875 0.625
5 Nd 0.375 0.125 0.250
6 Nd 0.375 0.750 0.125
7 Nd 0.625 0.250 0.875
8 Nd 0.625 0.875 0.750
9 Nd 0.750 0.125 0.375
10 Nd 0.750 0.625 0.875
11 Nd 0.875 0.625 0.250
12 Nd 0.875 0.750 0.625
13 Hg 0.000 0.000 0.000
14 Hg 0.000 0.000 0.500
15 Hg 0.000 0.500 0.000
16 Hg 0.000 0.500 0.500
17 Hg 0.125 0.750 0.875
18 Hg 0.125 0.875 0.250
19 Hg 0.250 0.125 0.875
20 Hg 0.250 0.625 0.375
21 Hg 0.375 0.250 0.625
22 Hg 0.375 0.625 0.750
23 Hg 0.500 0.000 0.000
24 Hg 0.500 0.000 0.500
25 Hg 0.500 0.500 0.000
26 Hg 0.500 0.500 0.500
27 Hg 0.625 0.375 0.250
28 Hg 0.625 0.750 0.375
29 Hg 0.750 0.375 0.625
30 Hg 0.750 0.875 0.125
31 Hg 0.875 0.125 0.750
32 Hg 0.875 0.250 0.125
33 H 0.052 0.256 0.155
34 H 0.052 0.296 0.898
35 H 0.101 0.756 0.704
36 H 0.101 0.845 0.398
37 H 0.102 0.655 0.399
38 H 0.102 0.948 0.704
39 H 0.155 0.052 0.256
40 H 0.155 0.602 0.899
41 H 0.204 0.256 0.601
42 H 0.204 0.448 0.602
43 H 0.244 0.296 0.899
44 H 0.244 0.448 0.345
45 H 0.256 0.155 0.052
46 H 0.256 0.601 0.204
47 H 0.296 0.898 0.052
48 H 0.296 0.899 0.244
49 H 0.345 0.244 0.448
50 H 0.345 0.601 0.898
51 H 0.398 0.101 0.845
52 H 0.398 0.796 0.552
53 H 0.399 0.102 0.655
54 H 0.399 0.796 0.744
55 H 0.448 0.345 0.244
56 H 0.448 0.602 0.204
57 H 0.552 0.398 0.796
58 H 0.552 0.655 0.756
59 H 0.601 0.204 0.256
60 H 0.601 0.898 0.345
61 H 0.602 0.204 0.448
62 H 0.602 0.899 0.155
63 H 0.655 0.399 0.102
64 H 0.655 0.756 0.552
65 H 0.704 0.101 0.756
66 H 0.704 0.102 0.948
67 H 0.744 0.399 0.796
68 H 0.744 0.845 0.948
69 H 0.756 0.552 0.655
70 H 0.756 0.704 0.101
71 H 0.796 0.552 0.398
72 H 0.796 0.744 0.399
73 H 0.845 0.398 0.101
74 H 0.845 0.948 0.744
75 H 0.898 0.052 0.296
76 H 0.898 0.345 0.601
77 H 0.899 0.155 0.602
78 H 0.899 0.244 0.296
79 H 0.948 0.704 0.102
80 H 0.948 0.744 0.845

VASP energy	-2.805	eV/atom
density of states at the Fermi level	2.6	states/eV/f.u.

=====

Which of these has the lowest VASP energy?
ZrMnRu

=====

Which value of VASP energy does entry 1 give?
-6.695 eV/atom

=====

What is the density of states at the Fermi level in the first record?
5.5 states/eV/f.u.

=====

What is the density of states at the Fermi level in the fourth record?
2.6 states/eV/f.u.